This record from Alexandria via LeMat-Bulk describes a relaxed structure of MnAlTe2. The functional is PBE.

For the energy, the calculation gives -18.363 eV for the cell shown. The magnetic moment is 0.991 μB per atom. Its density of states at the Fermi level is 0.6782 states/eV/atom. Its formation energy without anion corrections is 20.1 kJ/mol of atoms.

The structure belongs to space group P4/mmm (No. 123); the cell edges are 3.527, 3.527 and 7.316 Å and the angles 90.00°, 90.00° and 90.00°. The inequivalent atoms are Mn at (0.000, 0.000, 0.000), Al at (0.000, 0.000, 0.500) and Te at (0.500, 0.500, 0.231).